# SCAN BaOs4, single point on PBEsol structure
data_BaOs4
_symmetry_space_group_name_H-M 'I 4/m m m'
_symmetry_Int_Tables_number 139
_symmetry_space_group_name_Hall '-I 4 2'
_cell_length_a 4.290
_cell_length_b 4.290
_cell_length_c 10.498
_cell_angle_alpha 90.00
_cell_angle_beta 90.00
_cell_angle_gamma 90.00
loop_
_atom_site_label
_atom_site_type_symbol
_atom_site_fract_x
_atom_site_fract_y
_atom_site_fract_z
Ba1 Ba 0.000 0.000 0.000
Os1 Os 0.000 0.000 0.381
Os2 Os 0.000 0.500 0.250
# N(E_F) = 9.19 states/eV per cell
# spin magnetization = 0.000 Bohr magnetons per cell
# ρ = 15.44 g/cm³
# formation energy = 0.58 eV per atom



# SCAN BaOs, single point on PBEsol structure
data_BaOs
_symmetry_space_group_name_H-M 'P m -3 m'
_symmetry_Int_Tables_number 221
_symmetry_space_group_name_Hall '-P 4 2 3'
_cell_length_a 3.683
_cell_length_b 3.683
_cell_length_c 3.683
_cell_angle_alpha 90.00
_cell_angle_beta 90.00
_cell_angle_gamma 90.00
loop_
_atom_site_label
_atom_site_type_symbol
_atom_site_fract_x
_atom_site_fract_y
_atom_site_fract_z
Ba1 Ba 0.000 0.000 0.000
Os1 Os 0.500 0.500 0.500
# N(E_F) = 4.10 states/eV per cell
# spin magnetization = 0.461 Bohr magnetons per cell
# ρ = 10.89 g/cm³
# formation energy = 1.65 eV per atom



Q: What is the formula in the second record?
A: BaOs